Run P
Below is YAgI2N after structural relaxation, with properties calculated at the PBE-GGA level.

Lattice parameters (Å, degrees): 6.193 6.193 4.134 90.00 90.00 90.00
Sites, in units of the cell vectors:
1 Y 0.000 0.000 0.000
2 Ag 0.500 0.500 0.500
3 I 0.000 0.500 0.000
4 I 0.500 0.000 0.000
5 N 0.000 0.000 0.500

crystal system: tetragonal
space-group type: P4/mmm
total magnetic moment: 0.26 μB per cell

---

Run Q
Below is YAgI2N after structural relaxation, with properties calculated at the PBE-GGA level.

Lattice parameters (Å, degrees): 5.946 5.946 3.994 90.00 90.00 90.00
Sites, in units of the cell vectors:
1 Y 0.000 0.000 0.000
2 Ag 0.500 0.500 0.500
3 I 0.000 0.500 0.500
4 I 0.500 0.000 0.500
5 N 0.500 0.500 0.000

crystal system: tetragonal
space-group type: P4/mmm
total magnetic moment: 1.73 μB per cell

---

Short version: run Q is the least stable of them.

---

Run P
Below is ZnAgI2N after structural relaxation, with properties calculated at the PBE-GGA level.

Lattice parameters (Å, degrees): 5.858 5.858 3.845 90.00 90.00 90.00
Sites, in units of the cell vectors:
1 Zn 0.000 0.000 0.000
2 Ag 0.500 0.500 0.500
3 I 0.000 0.500 0.000
4 I 0.500 0.000 0.000
5 N 0.000 0.000 0.500

crystal system: tetragonal
space-group type: P4/mmm
total magnetic moment: 2.00 μB per cell

---

Run Q
Below is ZnAgI2N after structural relaxation, with properties calculated at the PBE-GGA level.

Lattice parameters (Å, degrees): 5.869 5.869 4.116 90.00 90.00 90.00
Sites, in units of the cell vectors:
1 Zn 0.000 0.000 0.000
2 Ag 0.500 0.500 0.500
3 I 0.000 0.500 0.500
4 I 0.500 0.000 0.500
5 N 0.500 0.500 0.000

crystal system: tetragonal
space-group type: P4/mmm
total magnetic moment: 2.08 μB per cell

---

Short version: run Q is the least stable of them.

---

Run P
Below is ZnAgIN2 after structural relaxation, with properties calculated at the PBE-GGA level.

Lattice parameters (Å, degrees): 4.106 4.106 7.766 90.00 90.00 90.00
Sites, in units of the cell vectors:
1 Zn 0.000 0.000 0.000
2 Ag 0.500 0.500 0.500
3 I 0.500 0.500 0.000
4 N 0.000 0.500 0.500
5 N 0.500 0.000 0.500

crystal system: tetragonal
space-group type: P4/mmm
total magnetic moment: 3.50 μB per cell

---

Run Q
Below is ZnAgIN2 after structural relaxation, with properties calculated at the PBE-GGA level.

Lattice parameters (Å, degrees): 4.096 4.096 6.405 90.00 90.00 90.00
Sites, in units of the cell vectors:
1 Zn 0.000 0.000 0.000
2 Ag 0.500 0.500 0.500
3 I 0.000 0.000 0.500
4 N 0.000 0.500 0.000
5 N 0.500 0.000 0.000

crystal system: tetragonal
space-group type: P4/mmm
total magnetic moment: 3.76 μB per cell

---

Short version: run P is the least stable of them.

---

Run P
Below is ZrAgIN2 after structural relaxation, with properties calculated at the PBE-GGA level.

Lattice parameters (Å, degrees): 4.181 4.181 6.308 90.00 90.00 90.00
Sites, in units of the cell vectors:
1 Zr 0.000 0.000 0.000
2 Ag 0.500 0.500 0.500
3 I 0.000 0.000 0.500
4 N 0.000 0.500 0.000
5 N 0.500 0.000 0.000

crystal system: tetragonal
space-group type: P4/mmm
total magnetic moment: 0.28 μB per cell

---

Run Q
Below is ZrAgIN2 after structural relaxation, with properties calculated at the PBE-GGA level.

Lattice parameters (Å, degrees): 4.217 4.217 5.228 90.00 90.00 90.00
Sites, in units of the cell vectors:
1 Zr 0.000 0.000 0.000
2 Ag 0.500 0.500 0.500
3 I 0.500 0.500 0.000
4 N 0.000 0.500 0.500
5 N 0.500 0.000 0.500

crystal system: tetragonal
space-group type: P4/mmm
total magnetic moment: 0.00 μB per cell

---

Short version: run Q is the least stable of them.

---

Run P
Below is NaAgI2 after structural relaxation, with properties calculated at the PBE-GGA level.

Lattice parameters (Å, degrees): 5.559 5.559 3.942 90.00 90.00 90.00
Sites, in units of the cell vectors:
1 Na 0.000 0.000 0.000
2 Ag 0.500 0.500 0.000
3 I 0.000 0.500 0.500
4 I 0.500 0.000 0.500

crystal system: tetragonal
space-group type: P4/mmm
total magnetic moment: 0.00 μB per cell

---

Run Q
Below is NaAgI2 after structural relaxation, with properties calculated at the PBE-GGA level.

Lattice parameters (Å, degrees): 4.820 4.820 8.485 106.45 106.45 60.04
Sites, in units of the cell vectors:
1 Na 0.000 0.000 0.000
2 Ag 0.503 0.503 0.508
3 I 0.383 0.383 0.149
4 I 0.871 0.871 0.613

crystal system: monoclinic
space-group type: Cm
total magnetic moment: 0.00 μB per cell

---

Short version: run P is the least stable of them.

---

Run P
Below is NaAgI2 after structural relaxation, with properties calculated at the PBE-GGA level.

Lattice parameters (Å, degrees): 8.046 8.046 8.046 31.95 31.95 31.95
Sites, in units of the cell vectors:
1 Na 0.000 0.000 0.000
2 Ag 0.167 0.167 0.167
3 I 0.576 0.576 0.576
4 I 0.758 0.758 0.758

crystal system: trigonal
space-group type: R3m
total magnetic moment: 0.00 μB per cell

---

Run Q
Below is NaAgI2 after structural relaxation, with properties calculated at the PBE-GGA level.

Lattice parameters (Å, degrees): 8.989 8.989 8.989 31.56 31.56 31.56
Sites, in units of the cell vectors:
1 Na 0.000 0.000 0.000
2 Ag 0.500 0.500 0.500
3 I 0.397 0.397 0.397
4 I 0.603 0.603 0.603

crystal system: trigonal
space-group type: R-3m
total magnetic moment: 0.00 μB per cell

---

Run R
Below is NaAgI2 after structural relaxation, with properties calculated at the PBE-GGA level.

Lattice parameters (Å, degrees): 8.363 8.363 8.363 131.00 131.00 71.82
Sites, in units of the cell vectors:
1 Na 0.000 0.000 0.000
2 Na 0.750 0.250 0.500
3 Ag 0.250 0.750 0.500
4 Ag 0.500 0.500 0.000
5 I 0.152 0.625 0.027
6 I 0.375 0.402 0.527
7 I 0.598 0.125 0.973
8 I 0.875 0.848 0.473

crystal system: tetragonal
space-group type: I-42d
total magnetic moment: 0.00 μB per cell

---

Run S
Below is NaAgI2 after structural relaxation, with properties calculated at the PBE-GGA level.

Lattice parameters (Å, degrees): 5.566 5.566 5.566 60.00 60.00 60.00
Sites, in units of the cell vectors:
1 Na 0.000 0.000 0.000
2 Ag 0.500 0.500 0.500
3 I 0.250 0.250 0.250
4 I 0.750 0.750 0.750

crystal system: cubic
space-group type: Fm-3m
total magnetic moment: 0.00 μB per cell

---

Short version: run S is the least stable of them.